Below is crystalline Ac2AgBiTe5 at its relaxed geometry, with properties calculated at the PBE level.

Cell lengths 4.618, 10.116, 13.498 Å; angles 90.00, 90.00, 103.19 degrees
Element x y z (fractional)
Te 0.640 0.280 0.500
Ac 0.108 0.216 0.689
Te 0.282 0.563 0.668
Te 0.952 0.904 0.572
Te 0.500 0.999 0.279
Te 0.500 0.001 0.779
Bi 0.199 0.397 0.009
Te 0.048 0.096 0.072
Te 0.300 0.601 0.341
Ag 0.562 0.125 0.962
Ac 0.892 0.784 0.189
Te 0.360 0.720 0.000
Bi 0.801 0.603 0.509
Te 0.700 0.399 0.841
Te 0.718 0.437 0.168
Ac 0.123 0.245 0.305
Ag 0.438 0.875 0.462
Ac 0.877 0.755 0.805

Output
Density   7.62 g/cm3
Size of the total moment   0.00 Bohr magnetons per cell
Energy relative to the elements, uncorrected   -946 meV per atom
DOS at the Fermi energy   0.06 states/eV per cell
Energy   -78.338 eV per cell